KTaTcP2 | GGA-PBE | relaxed

The mass density is 5.6 g/cm3. The calculation puts the uncorrected energy at -0.224 hartree per atom. As for the density of states at the Fermi level: 4.07 states/eV per cell.

The space group is P4/mmm (No. 123) and the conventional cell measures 4.727, 4.727 and 5.030 Å, with angles of 90.00, 90.00 and 90.00 degrees. The inequivalent atoms are K at (0.000, 0.000, 0.000), Ta at (0.500, 0.500, 0.000), Tc at (0.500, 0.500, 0.500) and P at (0.000, 0.500, 0.500).

=====

KTaTe2P | GGA-PBE | relaxed

The mass density is 4.0 g/cm3. The calculation puts the uncorrected energy at -0.155 hartree per atom. As for the density of states at the Fermi level: 4.91 states/eV per cell. As for the formation energy from raw total energies: 0.720 eV/atom.

The space group is P4/mmm (No. 123) and the conventional cell measures 5.328, 5.328 and 7.494 Å, with angles of 90.00, 90.00 and 90.00 degrees. The inequivalent atoms are K at (0.000, 0.000, 0.000), Ta at (0.000, 0.000, 0.500), Te at (0.000, 0.500, 0.500) and P at (0.500, 0.500, 0.000).

=====

- Which of these has the lowest uncorrected energy?
  KTaTcP2

=====

- The lowest mass density belongs to which entry?
  KTaTe2P

=====

- Which of these has the lowest uncorrected energy?
  KTaTcP2

=====

- Among the records above, which one has the lowest mass density?
  KTaTe2P